## Al3Te (PBE)

Data for Al3Te after structural relaxation.

symmetry	Cmcm
relative energy among the computed polymorphs	186.3	meV per atom
total DFT energy (no corrections)	-26.88	eV per cell
formation energy (no corrections)	0.23	eV per atom

extended XYZ file:
```
8
Lattice="3.364 -5.024 0.000 3.364 5.024 0.000 0.000 0.000 5.412" Properties=species:S:1:pos:R:3 pbc="T T T"
Al 2.049 2.795 1.353
Al 3.364 4.181 4.059
Al 4.680 2.795 1.353
Al 2.049 -2.795 4.059
Al 3.364 -4.181 1.353
Al 4.680 -2.795 4.059
Te 3.364 0.390 4.059
Te 3.364 -0.390 1.353
```